BaYMo | PBEsol | optimized geometry

Calculated values
The calculation puts the total DFT energy (no corrections) at -5.15 eV per atom. Its energy of formation from the pure elements is 1763 meV/atom.

abc: 7.0755 7.0755 7.0755
angles: 90.00 90.00 90.00
Space group F-43m (No. 216)
Unique sites:
Ba 0.0000 0.0000 0.0000 [4 per cell]
Y 0.2500 0.2500 0.2500 [4 per cell]
Mo 0.2500 0.2500 0.7500 [4 per cell]

MoRhI3 | PBEsol | optimized geometry

Calculated values
The calculation puts the total DFT energy (no corrections) at -4.09 eV per atom. For the formation energy (no corrections), the calculation gives 0.9524 eV per atom.

abc: 5.2824 5.2824 5.2824
angles: 90.00 90.00 90.00
Space group Pm-3m (No. 221)
Unique sites:
Mo 0.0000 0.0000 0.0000 [1 per cell]
Rh 0.5000 0.5000 0.5000 [1 per cell]
I 0.0000 0.5000 0.5000 [3 per cell]

AsRh2Cl | PBEsol | optimized geometry

Calculated values
The calculation puts the total DFT energy (no corrections) at -5.97 eV per atom. For the formation energy (no corrections), the calculation gives -0.1202 eV per atom.

abc: 3.0944 3.0944 21.9425
angles: 90.00 90.00 120.00
Space group R-3m (No. 166, hexagonal axes)
Unique sites:
As 0.0000 0.0000 0.0000 [3 per cell]
Rh 0.0000 0.0000 0.2576 [6 per cell]
Cl 0.0000 0.0000 0.5000 [3 per cell]

NaSm2Se3 | PBEsol | optimized geometry

Calculated values
The calculation puts the total DFT energy (no corrections) at -5.60 eV per atom. For the formation energy (no corrections), the calculation gives -1.7447 eV per atom.

abc: 7.1962 12.3360 7.1193
angles: 90.00 109.54 90.00
Space group C2/c (No. 15)
Unique sites:
Na 0.0000 0.0821 0.2500 [4 per cell]
Sm 0.0000 0.2487 0.7500 [4 per cell]
Sm 0.0000 0.4166 0.2500 [4 per cell]
Se 0.2475 0.4162 0.9977 [8 per cell]
Se 0.2500 0.2500 0.5000 [4 per cell]

SnHPd3 | PBEsol | optimized geometry

Calculated values
The calculation puts the total DFT energy (no corrections) at -5.53 eV per atom.

abc: 4.0241 4.0241 4.0241
angles: 90.00 90.00 90.00
Space group Pm-3m (No. 221)
Unique sites:
Sn 0.0000 0.0000 0.0000 [1 per cell]
H 0.5000 0.5000 0.5000 [1 per cell]
Pd 0.0000 0.5000 0.5000 [3 per cell]

Tb4InRh | PBEsol | optimized geometry

Calculated values
The calculation puts the total DFT energy (no corrections) at -5.74 eV per atom. Its energy of formation from the pure elements is -548 meV/atom.

abc: 13.4623 13.4623 13.4623
angles: 90.00 90.00 90.00
Space group F-43m (No. 216)
Unique sites:
Tb 0.0000 0.0000 0.1885 [24 per cell]
Tb 0.0603 0.2500 0.2500 [24 per cell]
Tb 0.0998 0.0998 0.5998 [16 per cell]
In 0.1678 0.1678 0.8322 [16 per cell]
Rh 0.1075 0.1075 0.3925 [16 per cell]

CsTh2Te6 | PBEsol | optimized geometry

Calculated values
The calculation puts the total DFT energy (no corrections) at -5.36 eV per atom. For the formation energy (no corrections), the calculation gives -1.0990 eV per atom.

abc: 6.1086 4.3887 24.9634
angles: 90.00 90.00 90.00
Space group Amm2 (No. 38)
Unique sites:
Cs 0.0000 0.0000 0.0000 [2 per cell]
Th 0.0000 0.0000 0.1856 [2 per cell]
Th 0.5000 0.0000 0.8201 [2 per cell]
Te 0.0000 0.0000 0.7772 [2 per cell]
Te 0.2503 0.0000 0.6155 [4 per cell]
Te 0.2521 0.0000 0.3901 [4 per cell]
Te 0.5000 0.0000 0.2287 [2 per cell]

Zr8Al2Ni | PBEsol | optimized geometry

Calculated values
The calculation puts the total DFT energy (no corrections) at -8.12 eV per atom. Its energy of formation from the pure elements is -210 meV/atom.

abc: 4.3014 4.3014 12.0115
angles: 90.00 90.00 90.00
Space group P4/mmm (No. 123)
Unique sites:
Zr 0.0000 0.0000 0.1833 [2 per cell]
Zr 0.0000 0.5000 0.0000 [2 per cell]
Zr 0.0000 0.5000 0.3638 [4 per cell]
Al 0.5000 0.5000 0.1849 [2 per cell]
Ni 0.5000 0.5000 0.5000 [1 per cell]

Which value of total DFT energy (no corrections) does entry 5 give? -5.53 eV per atom

Please write out number 3 again, unchanged.
AsRh2Cl | PBEsol | optimized geometry

Calculated values
The calculation puts the total DFT energy (no corrections) at -5.97 eV per atom. For the formation energy (no corrections), the calculation gives -0.1202 eV per atom.

abc: 3.0944 3.0944 21.9425
angles: 90.00 90.00 120.00
Space group R-3m (No. 166, hexagonal axes)
Unique sites:
As 0.0000 0.0000 0.0000 [3 per cell]
Rh 0.0000 0.0000 0.2576 [6 per cell]
Cl 0.0000 0.0000 0.5000 [3 per cell]